[1]
{
  "formula": "CuTeC2",
  "functional": "GGA-PBE",
  "state": "optimized geometry",
  "e_form_raw_ev_per_atom": 1.4955,
  "volume_a3_per_atom": 14.1,
  "sg": "I-42d, No. 122",
  "cell": [[4.8213, 0.0000, 0.0000], [0.0000, 4.8213, 0.0000], [2.4107, 2.4107, 4.8599]],
  "species": ["C", "C", "C", "C", "Te", "Te", "Cu", "Cu"],
  "frac_coords": [[0.5960, 0.1250, 0.2500], [0.1540, 0.6250, 0.2500], [0.3750, 0.4040, 0.7500], [0.8750, 0.8460, 0.7500], [0.0000, 0.0000, 0.0000], [0.7500, 0.2500, 0.5000], [0.5000, 0.5000, 0.0000], [0.2500, 0.7500, 0.5000]]
}


[2]
{
  "formula": "CuTeC3",
  "functional": "GGA-PBE",
  "state": "optimized geometry",
  "e_form_raw_ev_per_atom": 2.6918,
  "volume_a3_per_atom": 12.5,
  "sg": "Pm-3m, No. 221",
  "relative_energy_ev_per_atom": 0.000,
  "cell": [[-2.9324, 0.8956, 2.5143], [0.7585, -3.3016, 2.0607], [2.5590, 2.0049, 2.2704]],
  "species": ["C", "C", "C", "Te", "Cu"],
  "frac_coords": [[0.0000, 0.5000, 0.0000], [0.0000, 0.0000, 0.5000], [0.5000, 0.0000, 0.0000], [0.5000, 0.5000, 0.5000], [0.0000, 0.0000, 0.0000]]
}


[3]
{
  "formula": "CuTe2C",
  "functional": "GGA-PBE",
  "state": "optimized geometry",
  "e_form_raw_ev_per_atom": 1.2225,
  "volume_a3_per_atom": 21.0,
  "sg": "R-3m, No. 166",
  "cell": [[2.0953, 1.9057, 7.8133], [5.1257, 2.2098, 6.1574], [2.8614, 4.8346, 6.1244]],
  "species": ["C", "Te", "Te", "Cu"],
  "frac_coords": [[0.5000, 0.5000, 0.5000], [0.8966, 0.8966, 0.8966], [0.1034, 0.1034, 0.1034], [0.0000, 0.0000, 0.0000]]
}